! PrMoBrO4 | Alexandria via LeMat-Bulk | PBE+U | relaxed; values from VASP
&SYSTEM
  ibrav = 0, nat = 28, ntyp = 4
/
ATOMIC_SPECIES
Pr 140.91 Pr.upf
Mo 95.94 Mo.upf
Br 79.90 Br.upf
O 16.00 O.upf
CELL_PARAMETERS angstrom
7.102 0.000 0.000
-0.134 7.574 0.000
-3.406 -3.634 10.457
ATOMIC_POSITIONS crystal
Pr 0.104 0.363 0.230
Pr 0.140 0.118 0.729
Pr 0.860 0.882 0.271
Pr 0.896 0.637 0.770
Mo 0.236 0.819 0.135
Mo 0.272 0.575 0.633
Mo 0.728 0.425 0.367
Mo 0.764 0.181 0.865
Br 0.244 0.010 0.485
Br 0.296 0.271 0.015
Br 0.704 0.729 0.985
Br 0.756 0.990 0.515
O 0.119 0.028 0.189
O 0.126 0.663 0.196
O 0.166 0.786 0.698
O 0.175 0.734 0.966
O 0.176 0.420 0.700
O 0.186 0.492 0.462
O 0.466 0.392 0.315
O 0.498 0.861 0.206
O 0.502 0.139 0.794
O 0.534 0.608 0.685
O 0.814 0.508 0.538
O 0.824 0.580 0.300
O 0.825 0.266 0.034
O 0.834 0.214 0.302
O 0.874 0.337 0.804
O 0.881 0.972 0.811
! VASP energy: -6.95 eV per atom